(1)
Entry from Alexandria via LeMat-Bulk: Fe2RhSe after structural relaxation (PBE).

The structure in POSCAR format:
```
Fe2RhSe
1.0
-3.300 3.300 2.493
3.300 -3.300 2.493
3.300 3.300 -2.493
Fe Rh Se
4 2 2
Cartesian
4.950 1.477 -0.623
1.477 1.650 0.623
-1.650 1.823 1.870
1.823 1.650 3.116
3.300 0.000 1.246
0.000 0.000 2.493
0.000 0.000 0.000
0.000 3.300 1.246
```

Output
**Size of the total moment**: 0.0 μB/f.u.
**Fermi-level density of states**: 15.47 states/eV per cell
**Raw formation energy**: 0.45 eV per atom
**Space-group type**: No. 122



(2)
Entry from Alexandria via LeMat-Bulk: Re2PPbF after structural relaxation (PBE).

The structure in POSCAR format:
```
Re2PPbF
1.0
4.602 0.000 0.000
0.000 4.602 0.000
0.000 0.000 3.954
Re P Pb F
2 1 1 1
Cartesian
0.000 2.301 0.000
2.301 0.000 0.000
0.000 0.000 0.000
2.301 2.301 1.977
0.000 0.000 1.977
```

Output
**Size of the total moment**: 0.0 μB/f.u.
**Fermi-level density of states**: 5.46 states/eV per cell
**Raw formation energy**: 0.53 eV per atom
**Space-group type**: No. 123



(3)
Entry from Alexandria via LeMat-Bulk: Y2VAuC after structural relaxation (PBE).

The structure in POSCAR format:
```
Y2VAuC
1.0
4.974 0.000 0.000
0.000 4.974 0.000
0.000 0.000 3.959
Y V Au C
2 1 1 1
Cartesian
0.000 2.487 0.000
2.487 0.000 0.000
0.000 0.000 1.980
2.487 2.487 1.980
0.000 0.000 0.000
```

Output
**Size of the total moment**: 1.6 μB/f.u.
**Formation energy**: -2.2 eV per formula unit
**Fermi-level density of states**: 2.59 states/eV per cell
**Space-group type**: No. 123



(4)
Entry from Alexandria via LeMat-Bulk: FePbS after structural relaxation (PBE).

The structure in POSCAR format:
```
FePbS
1.0
3.551 0.000 0.000
0.000 3.551 0.000
0.000 0.000 11.049
Fe Pb S
2 2 2
Cartesian
0.888 2.663 0.000
2.663 0.888 0.000
0.888 0.888 4.354
2.663 2.663 6.695
0.888 0.888 9.808
2.663 2.663 1.241
```

Output
**Size of the total moment**: 0.0 μB/f.u.
**Fermi-level density of states**: 4.26 states/eV per cell
**Raw formation energy**: -0.30 eV per atom
**Space-group type**: No. 129



(5)
Entry from Alexandria via LeMat-Bulk: Hf6Pt3O after structural relaxation (PBE).

The structure in POSCAR format:
```
Hf6Pt3O
1.0
5.791 0.000 0.000
0.000 7.220 0.000
-5.413 0.000 8.952
Hf Pt O
12 6 2
Cartesian
-0.885 0.388 2.104
-3.592 3.222 6.580
0.812 5.187 0.608
-1.894 5.643 5.085
1.981 1.060 0.455
-0.725 2.550 4.931
1.103 4.670 4.021
-1.604 6.160 8.497
2.272 1.577 3.868
-0.435 2.033 8.344
3.969 3.998 2.372
1.262 6.832 6.848
-2.109 0.773 6.444
0.597 2.837 1.968
0.189 0.000 4.476
2.895 3.610 0.000
-0.220 4.383 6.985
2.487 6.447 2.509
0.000 0.000 0.000
-2.707 3.610 4.476
```

Output
**Size of the total moment**: 0.0 μB/f.u.
**Fermi-level density of states**: 15.16 states/eV per cell
**Raw formation energy**: -1.08 eV per atom
**Space-group type**: No. 14



(6)
Entry from Alexandria via LeMat-Bulk: CsMnTe2 after structural relaxation (PBE).

The structure in POSCAR format:
```
CsMnTe2
1.0
-2.223 2.223 7.691
2.223 -2.223 7.691
2.223 2.223 -7.691
Cs Mn Te
1 1 2
Cartesian
0.000 0.000 0.000
2.223 0.000 3.846
0.000 0.000 5.287
0.000 0.000 10.095
```

Output
**Size of the total moment**: 4.0 μB/f.u.
**Fermi-level density of states**: 2.26 states/eV per cell
**Raw formation energy**: -0.48 eV per atom
**Space-group type**: No. 119



(7)
Entry from Alexandria via LeMat-Bulk: MgZnP2 after structural relaxation (PBE).

The structure in POSCAR format:
```
MgZnP2
1.0
4.343 0.000 0.000
0.000 5.288 0.000
0.000 0.000 2.960
Mg Zn P
1 1 2
Cartesian
0.000 0.000 0.000
2.171 2.644 1.492
0.000 2.644 0.008
2.171 0.000 1.484
```

Output
**Size of the total moment**: 0.0 μB/f.u.
**Formation energy**: -0.1 eV per formula unit
**Fermi-level density of states**: 1.65 states/eV per cell
**Space-group type**: No. 25



(8)
Entry from Alexandria via LeMat-Bulk: Sm5DyAl3 after structural relaxation (PBE).

The structure in POSCAR format:
```
Sm5DyAl3
1.0
9.212 0.000 0.000
-4.606 7.978 0.000
0.000 0.000 6.760
Sm Dy Al
10 2 6
Cartesian
-1.541 2.669 1.690
-3.065 5.309 5.070
0.000 5.319 0.000
0.000 5.319 3.380
3.082 0.000 1.690
1.541 2.669 5.070
6.130 0.000 5.070
3.065 5.309 1.690
4.606 2.659 0.000
4.606 2.659 3.380
0.000 0.000 0.000
0.000 0.000 3.380
-1.518 2.629 5.070
-3.088 5.349 1.690
3.035 0.000 5.070
1.518 2.629 1.690
6.177 0.000 1.690
3.088 5.349 5.070
```

Output
**Size of the total moment**: 0.0 μB/f.u.
**Formation energy**: -2.2 eV per formula unit
**Fermi-level density of states**: 21.20 states/eV per cell
**Space-group type**: No. 193



(9)
Entry from Alexandria via LeMat-Bulk: Pa5SiGe3 after structural relaxation (PBE).

The structure in POSCAR format:
```
Pa5SiGe3
1.0
8.782 0.000 0.000
-4.391 7.605 0.000
0.000 0.000 6.008
Pa Si Ge
10 2 6
Cartesian
-1.220 2.113 1.502
-3.171 5.492 4.506
2.440 0.000 1.502
1.220 2.113 4.506
0.000 5.070 0.000
0.000 5.070 3.004
4.391 2.535 0.000
4.391 2.535 3.004
6.342 0.000 4.506
3.171 5.492 1.502
0.000 0.000 0.000
0.000 0.000 3.004
-1.658 2.871 4.506
-2.733 4.734 1.502
3.316 0.000 4.506
1.658 2.871 1.502
5.466 0.000 1.502
2.733 4.734 4.506
```

Output
**Size of the total moment**: 0.6 μB/f.u.
**Fermi-level density of states**: 30.46 states/eV per cell
**Raw formation energy**: -0.52 eV per atom
**Space-group type**: No. 193



(10)
Entry from Alexandria via LeMat-Bulk: Ho3Hf5O12 after structural relaxation (PBE).

The structure in POSCAR format:
```
Ho3Hf5O12
1.0
-6.607 6.607 6.607
6.607 -6.607 6.607
6.607 6.607 -6.607
Ho Hf O
12 20 48
Cartesian
3.304 1.652 0.000
6.607 3.304 -1.652
1.652 0.000 3.304
8.259 0.000 3.304
0.000 3.304 1.652
3.304 -1.652 6.607
3.304 8.259 0.000
6.607 3.304 4.956
-1.652 6.607 3.304
4.956 6.607 3.304
0.000 3.304 8.259
3.304 4.956 6.607
0.000 0.000 0.000
3.304 3.304 -3.304
3.304 -3.304 3.304
6.607 0.000 0.000
9.911 1.652 0.000
6.607 -3.304 4.956
4.956 6.607 -3.304
4.956 0.000 3.304
3.304 4.956 0.000
6.607 3.304 1.652
-3.304 3.304 3.304
0.000 6.607 0.000
0.000 0.000 6.607
3.304 3.304 3.304
0.000 3.304 4.956
3.304 1.652 6.607
1.652 6.607 3.304
1.652 0.000 9.911
0.000 9.911 1.652
-3.304 4.956 6.607
2.040 -0.153 0.552
7.871 3.856 -3.457
8.648 0.153 0.552
7.871 -2.751 3.457
6.454 -0.552 2.040
10.064 -1.263 2.751
0.552 2.040 -0.153
9.359 3.151 -1.263
3.856 3.457 -1.263
6.055 2.040 0.153
-0.153 0.552 2.040
3.457 -1.263 3.856
6.454 6.055 -2.040
3.457 1.263 2.751
3.856 -3.457 7.871
6.055 -2.040 6.454
2.751 3.457 1.263
7.160 4.567 0.153
3.457 7.871 -2.751
6.454 0.552 4.567
2.040 6.454 -0.552
7.871 2.751 3.151
1.263 2.751 3.457
2.040 0.153 6.055
4.567 6.454 0.552
5.344 3.856 3.151
-1.263 3.856 3.457
4.567 0.153 7.160
0.153 6.055 2.040
3.151 -1.263 9.359
-0.552 2.040 6.454
3.856 3.151 5.344
0.552 8.648 0.153
2.751 10.064 -1.263
3.151 5.344 3.856
0.153 0.552 8.648
3.151 7.871 2.751
6.761 6.055 4.567
0.552 4.567 6.454
2.751 3.151 7.871
-2.751 3.457 7.871
6.055 4.567 6.761
-3.457 7.871 3.856
0.153 7.160 4.567
-1.263 9.359 3.151
-2.040 6.454 6.055
-1.263 2.751 10.064
4.567 6.761 6.055
```

Output
**Size of the total moment**: 0.0 μB/f.u.
**Fermi-level density of states**: 17.39 states/eV per cell
**Raw formation energy**: -3.05 eV per atom
**Space-group type**: No. 230



(11)
Entry from Alexandria via LeMat-Bulk: Pm6DyPb4 after structural relaxation (PBE).

The structure in POSCAR format:
```
Pm6DyPb4
1.0
9.963 0.000 0.000
-4.981 8.628 0.000
0.000 0.000 4.221
Pm Dy Pb
6 1 4
Cartesian
0.000 3.380 0.000
-2.054 6.938 0.000
4.981 0.697 2.111
3.094 3.966 2.111
2.054 6.938 0.000
6.869 3.966 2.111
0.000 0.000 2.111
2.407 1.389 0.000
0.000 5.752 2.111
7.556 1.389 0.000
4.981 5.849 0.000
```

Output
**Size of the total moment**: 2.8 μB/f.u.
**Formation energy**: -3.9 eV per formula unit
**Fermi-level density of states**: 12.94 states/eV per cell
**Space-group type**: No. 187